## VPb2F8 (PBE+U)

Data for a relaxed structure of VPb2F8.

The calculation puts the energy above the most stable polymorph in this dataset at 0 meV per atom.

It has space group C2/m (No. 12), with a = 10.450 Å, b = 7.638 Å, c = 4.831 Å, α = 90.00°, β = 109.58° and γ = 90.00°. The asymmetric unit holds V at (0.000, 0.000, 0.000), Pb at (0.157, 0.500, 0.351), F at (0.084, 0.500, 0.807), F at (0.111, 0.000, 0.781) and F at (0.116, 0.176, 0.248).